(1)
{
  "formula": "InOsO2F",
  "functional": "GGA-PBEsol",
  "state": "relaxed",
  "dft_energy_ev_per_atom": -5.33,
  "sg": "P4/mmm (123)",
  "lattice_angstrom": [[4.1364, 0.0000, 0.0000], [0.0000, 4.1364, 0.0000], [0.0000, 0.0000, 4.0737]],
  "species": ["In", "Os", "O", "O", "F"],
  "frac_coords": [[0.0000, 0.0000, 0.0000], [0.5000, 0.5000, 0.5000], [0.0000, 0.5000, 0.0000], [0.5000, 0.0000, 0.0000], [0.0000, 0.0000, 0.5000]]
}



(2)
{
  "formula": "ScBeAs2",
  "functional": "GGA-PBEsol",
  "state": "relaxed",
  "sg": "Pmmm (47)",
  "e_form_kj_per_mol_fu": -137.4,
  "lattice_angstrom": [[3.6058, 0.0000, 0.0000], [0.0000, 3.9135, 0.0000], [0.0000, 0.0000, 4.5416]],
  "species": ["Sc", "Be", "As", "As"],
  "frac_coords": [[0.0000, 0.0000, 0.0000], [0.0000, 0.5000, 0.5000], [0.5000, 0.0000, 0.5000], [0.5000, 0.5000, 0.0000]]
}



(3)
{
  "formula": "HgPIrCl2",
  "functional": "GGA-PBEsol",
  "state": "relaxed",
  "dft_energy_ev_per_atom": -2.48,
  "sg": "P4/mmm (123)",
  "lattice_angstrom": [[4.8503, 0.0000, 0.0000], [0.0000, 4.8503, 0.0000], [0.0000, 0.0000, 5.1534]],
  "species": ["Hg", "P", "Ir", "Cl", "Cl"],
  "frac_coords": [[0.0000, 0.0000, 0.0000], [0.0000, 0.0000, 0.5000], [0.5000, 0.5000, 0.5000], [0.0000, 0.5000, 0.0000], [0.5000, 0.0000, 0.0000]]
}